Entry 1:
A relaxed LuFeAsAu crystal. Source: the Open Quantum Materials Database, functional GGA-PBE.

Lattice parameters (Å, degrees): 4.707 4.707 4.707 60.00 60.00 60.00
Atoms (fractional coordinates):
Lu 0.250 0.250 0.250
As 0.000 0.000 0.000
Fe 0.750 0.750 0.750
Au 0.500 0.500 0.500

Entry 2:
A relaxed MgFeAsAu crystal. Source: the Open Quantum Materials Database, functional GGA-PBE.

Lattice parameters (Å, degrees): 4.540 4.540 4.540 60.00 60.00 60.00
Atoms (fractional coordinates):
As 0.000 0.000 0.000
Au 0.500 0.500 0.500
Fe 0.750 0.750 0.750
Mg 0.250 0.250 0.250

Entry 3:
A relaxed FeNiAsAu crystal. Source: the Open Quantum Materials Database, functional GGA-PBE.

Lattice parameters (Å, degrees): 4.346 4.346 4.346 60.00 60.00 60.00
Atoms (fractional coordinates):
As 0.000 0.000 0.000
Ni 0.500 0.500 0.500
Au 0.250 0.250 0.250
Fe 0.750 0.750 0.750

Entry 4:
A relaxed FeNiAsAu crystal. Source: the Open Quantum Materials Database, functional GGA-PBE.

Lattice parameters (Å, degrees): 4.341 4.341 4.341 60.00 60.00 60.00
Atoms (fractional coordinates):
As 0.000 0.000 0.000
Au 0.500 0.500 0.500
Ni 0.250 0.250 0.250
Fe 0.750 0.750 0.750

Entry 5:
A relaxed FeAsOsAu crystal. Source: the Open Quantum Materials Database, functional GGA-PBE.

Lattice parameters (Å, degrees): 4.399 4.399 4.399 60.00 60.00 60.00
Atoms (fractional coordinates):
As 0.000 0.000 0.000
Os 0.250 0.250 0.250
Au 0.500 0.500 0.500
Fe 0.750 0.750 0.750

Entry 6:
A relaxed FeAsPbAu crystal. Source: the Open Quantum Materials Database, functional GGA-PBE.

Lattice parameters (Å, degrees): 4.825 4.825 4.825 60.00 60.00 60.00
Atoms (fractional coordinates):
Pb 0.500 0.500 0.500
As 0.000 0.000 0.000
Fe 0.250 0.250 0.250
Au 0.750 0.750 0.750

Entry 7:
A relaxed FeAsPdAu crystal. Source: the Open Quantum Materials Database, functional GGA-PBE.

Lattice parameters (Å, degrees): 4.471 4.471 4.471 60.00 60.00 60.00
Atoms (fractional coordinates):
As 0.000 0.000 0.000
Fe 0.750 0.750 0.750
Au 0.500 0.500 0.500
Pd 0.250 0.250 0.250

Entry 8:
A relaxed FeReAsAu crystal. Source: the Open Quantum Materials Database, functional GGA-PBE.

Lattice parameters (Å, degrees): 4.467 4.467 4.467 60.00 60.00 60.00
Atoms (fractional coordinates):
As 0.000 0.000 0.000
Fe 0.750 0.750 0.750
Re 0.500 0.500 0.500
Au 0.250 0.250 0.250

Entry 9:
A relaxed FeReAsAu crystal. Source: the Open Quantum Materials Database, functional GGA-PBE.

Lattice parameters (Å, degrees): 4.397 4.397 4.397 60.00 60.00 60.00
Atoms (fractional coordinates):
As 0.000 0.000 0.000
Au 0.500 0.500 0.500
Re 0.250 0.250 0.250
Fe 0.750 0.750 0.750

Entry 10:
A relaxed ScFeAsAu crystal. Source: the Open Quantum Materials Database, functional GGA-PBE.

Lattice parameters (Å, degrees): 4.573 4.573 4.573 60.00 60.00 60.00
Atoms (fractional coordinates):
As 0.000 0.000 0.000
Fe 0.750 0.750 0.750
Au 0.250 0.250 0.250
Sc 0.500 0.500 0.500

Entry 11:
A relaxed ScFeAsAu crystal. Source: the Open Quantum Materials Database, functional GGA-PBE.

Lattice parameters (Å, degrees): 4.579 4.579 4.579 60.00 60.00 60.00
Atoms (fractional coordinates):
Sc 0.250 0.250 0.250
Fe 0.750 0.750 0.750
As 0.000 0.000 0.000
Au 0.500 0.500 0.500

Entry 12:
A relaxed FeSiAsAu crystal. Source: the Open Quantum Materials Database, functional GGA-PBE.

Lattice parameters (Å, degrees): 4.498 4.498 4.498 60.00 60.00 60.00
Atoms (fractional coordinates):
As 0.250 0.250 0.250
Si 0.000 0.000 0.000
Au 0.750 0.750 0.750
Fe 0.500 0.500 0.500

Entry 13:
A relaxed FeSiAsAu crystal. Source: the Open Quantum Materials Database, functional GGA-PBE.

Lattice parameters (Å, degrees): 4.482 4.482 4.482 60.00 60.00 60.00
Atoms (fractional coordinates):
Si 0.000 0.000 0.000
Au 0.750 0.750 0.750
As 0.500 0.500 0.500
Fe 0.250 0.250 0.250

Entry 14:
A relaxed TaFeAsAu crystal. Source: the Open Quantum Materials Database, functional GGA-PBE.

Lattice parameters (Å, degrees): 4.541 4.541 4.541 60.00 60.00 60.00
Atoms (fractional coordinates):
As 0.000 0.000 0.000
Ta 0.500 0.500 0.500
Au 0.250 0.250 0.250
Fe 0.750 0.750 0.750

Entry 15:
A relaxed TaFeAsAu crystal. Source: the Open Quantum Materials Database, functional GGA-PBE.

Lattice parameters (Å, degrees): 4.487 4.487 4.487 60.00 60.00 60.00
Atoms (fractional coordinates):
As 0.000 0.000 0.000
Ta 0.250 0.250 0.250
Au 0.500 0.500 0.500
Fe 0.750 0.750 0.750

Entry 16:
A relaxed FeTcAsAu crystal. Source: the Open Quantum Materials Database, functional GGA-PBE.

Lattice parameters (Å, degrees): 4.394 4.394 4.394 60.00 60.00 60.00
Atoms (fractional coordinates):
As 0.000 0.000 0.000
Au 0.500 0.500 0.500
Fe 0.750 0.750 0.750
Tc 0.250 0.250 0.250

Entry 17:
A relaxed ZnFeAsAu crystal. Source: the Open Quantum Materials Database, functional GGA-PBE.

Lattice parameters (Å, degrees): 4.460 4.460 4.460 60.00 60.00 60.00
Atoms (fractional coordinates):
Fe 0.750 0.750 0.750
Zn 0.500 0.500 0.500
As 0.000 0.000 0.000
Au 0.250 0.250 0.250

Entry 18:
A relaxed ZnFeAsAu crystal. Source: the Open Quantum Materials Database, functional GGA-PBE.

Lattice parameters (Å, degrees): 4.488 4.488 4.488 60.00 60.00 60.00
Atoms (fractional coordinates):
As 0.000 0.000 0.000
Fe 0.750 0.750 0.750
Au 0.500 0.500 0.500
Zn 0.250 0.250 0.250

Entry 19:
A relaxed ZrFeAsAu crystal. Source: the Open Quantum Materials Database, functional GGA-PBE.

Lattice parameters (Å, degrees): 4.603 4.603 4.603 60.00 60.00 60.00
Atoms (fractional coordinates):
Fe 0.750 0.750 0.750
Au 0.500 0.500 0.500
As 0.000 0.000 0.000
Zr 0.250 0.250 0.250

Entry 20:
A relaxed ZrFeAsAu crystal. Source: the Open Quantum Materials Database, functional GGA-PBE.

Lattice parameters (Å, degrees): 4.613 4.613 4.613 60.00 60.00 60.00
Atoms (fractional coordinates):
Zr 0.250 0.250 0.250
As 0.000 0.000 0.000
Au 0.750 0.750 0.750
Fe 0.500 0.500 0.500

Entry 21:
A relaxed ZrFeAsAu crystal. Source: the Open Quantum Materials Database, functional GGA-PBE.

Lattice parameters (Å, degrees): 4.636 4.636 4.636 60.00 60.00 60.00
Atoms (fractional coordinates):
Fe 0.750 0.750 0.750
Au 0.250 0.250 0.250
As 0.000 0.000 0.000
Zr 0.500 0.500 0.500

Entry 22:
A relaxed GaAsAu crystal. Source: the Open Quantum Materials Database, functional GGA-PBE.

Lattice parameters (Å, degrees): 4.874 3.822 13.116 90.00 90.00 90.00
Atoms (fractional coordinates):
As 0.140 0.250 0.052
As 0.860 0.750 0.948
As 0.640 0.250 0.448
As 0.360 0.750 0.552
Ga 0.758 0.250 0.177
Ga 0.742 0.750 0.677
Ga 0.258 0.250 0.323
Ga 0.242 0.750 0.823
Au 0.387 0.750 0.177
Au 0.613 0.250 0.823
Au 0.113 0.250 0.677
Au 0.887 0.750 0.323

Entry 23:
A relaxed GaAsAu crystal. Source: the Open Quantum Materials Database, functional GGA-PBE.

Lattice parameters (Å, degrees): 5.909 3.906 9.953 90.00 90.00 90.00
Atoms (fractional coordinates):
Ga 0.812 0.250 0.922
Ga 0.688 0.750 0.422
Ga 0.188 0.750 0.078
Ga 0.312 0.250 0.578
Au 0.086 0.750 0.702
Au 0.586 0.750 0.798
Au 0.914 0.250 0.298
Au 0.414 0.250 0.202
As 0.752 0.250 0.612
As 0.252 0.250 0.888
As 0.748 0.750 0.112
As 0.248 0.750 0.388

Entry 24:
A relaxed GaAs2Au2 crystal. Source: the Open Quantum Materials Database, functional GGA-PBE.

Lattice parameters (Å, degrees): 6.387 6.387 6.387 139.31 139.31 58.90
Atoms (fractional coordinates):
Ga 0.000 0.000 0.000
As 0.612 0.612 0.000
As 0.388 0.388 0.000
Au 0.250 0.750 0.500
Au 0.750 0.250 0.500

Entry 25:
A relaxed GaAs2Au crystal. Source: the Open Quantum Materials Database, functional GGA-PBE.

Lattice parameters (Å, degrees): 4.766 4.766 4.766 60.00 60.00 60.00
Atoms (fractional coordinates):
Ga 0.500 0.500 0.500
As 0.000 0.000 0.000
As 0.750 0.750 0.750
Au 0.250 0.250 0.250

Entry 26:
A relaxed Li4GaAsAu2 crystal. Source: the Open Quantum Materials Database, functional GGA-PBE.

Lattice parameters (Å, degrees): 4.340 4.340 6.480 90.00 90.00 90.00
Atoms (fractional coordinates):
Li 0.000 0.000 0.500
Li 0.000 0.500 0.247
Li 0.500 0.500 0.000
Li 0.500 0.000 0.753
Ga 0.500 0.500 0.500
As 0.000 0.000 0.000
Au 0.000 0.500 0.735
Au 0.500 0.000 0.265

Entry 27:
A relaxed Ge2AsAu crystal. Source: the Open Quantum Materials Database, functional GGA-PBE.

Lattice parameters (Å, degrees): 4.758 4.758 4.758 60.00 60.00 60.00
Atoms (fractional coordinates):
Au 0.500 0.500 0.500
As 0.750 0.750 0.750
Ge 0.250 0.250 0.250
Ge 0.000 0.000 0.000

Entry 28:
A relaxed GeAsOsAu crystal. Source: the Open Quantum Materials Database, functional GGA-PBE.

Lattice parameters (Å, degrees): 4.544 4.544 4.544 60.00 60.00 60.00
Atoms (fractional coordinates):
Os 0.250 0.250 0.250
Ge 0.000 0.000 0.000
Au 0.750 0.750 0.750
As 0.500 0.500 0.500

Entry 29:
A relaxed GeAsOsAu crystal. Source: the Open Quantum Materials Database, functional GGA-PBE.

Lattice parameters (Å, degrees): 4.592 4.592 4.592 60.00 60.00 60.00
Atoms (fractional coordinates):
Ge 0.000 0.000 0.000
Os 0.500 0.500 0.500
Au 0.750 0.750 0.750
As 0.250 0.250 0.250

Number 1: DFT total energy -5.53 eV per atom, volume 18.43 Å³/atom. Number 2: DFT total energy -4.45 eV per atom, volume 16.55 Å³/atom. Number 3: DFT total energy -5.23 eV per atom, volume 14.51 Å³/atom. Number 4: DFT total energy -5.33 eV per atom, volume 14.46 Å³/atom. Number 5: DFT total energy -6.38 eV per atom, volume 15.05 Å³/atom. Number 6: DFT total energy -4.56 eV per atom, volume 19.86 Å³/atom. Number 7: DFT total energy -5.30 eV per atom, volume 15.80 Å³/atom. Number 8: DFT total energy -6.34 eV per atom, volume 15.75 Å³/atom. Number 9: DFT total energy -6.68 eV per atom, volume 15.03 Å³/atom. Number 10: DFT total energy -5.75 eV per atom, volume 16.90 Å³/atom. Number 11: DFT total energy -5.96 eV per atom, volume 16.97 Å³/atom. Number 12: DFT total energy -4.97 eV per atom, volume 16.09 Å³/atom. Number 13: DFT total energy -5.04 eV per atom, volume 15.92 Å³/atom. Number 14: DFT total energy -6.61 eV per atom, volume 16.56 Å³/atom. Number 15: DFT total energy -6.87 eV per atom, volume 15.97 Å³/atom. Number 16: DFT total energy -6.36 eV per atom, volume 15.00 Å³/atom. Number 17: DFT total energy -4.12 eV per atom, volume 15.68 Å³/atom. Number 18: DFT total energy -4.16 eV per atom, volume 15.98 Å³/atom. Number 19: DFT total energy -6.40 eV per atom, volume 17.24 Å³/atom. Number 20: DFT total energy -6.23 eV per atom, volume 17.35 Å³/atom. Number 21: DFT total energy -6.17 eV per atom, volume 17.61 Å³/atom. Number 22: DFT total energy -3.68 eV per atom, volume 20.36 Å³/atom. Number 23: DFT total energy -3.59 eV per atom, volume 19.15 Å³/atom. Number 24: DFT total energy -3.64 eV per atom, volume 21.94 Å³/atom. Number 25: DFT total energy -3.66 eV per atom, volume 19.14 Å³/atom. Number 26: DFT total energy -3.28 eV per atom, volume 15.26 Å³/atom. Number 27: DFT total energy -3.98 eV per atom, volume 19.04 Å³/atom. Number 28: DFT total energy -5.37 eV per atom, volume 16.58 Å³/atom. Number 29: DFT total energy -5.22 eV per atom, volume 17.11 Å³/atom.